# Rb2AgGeBr5 PBE relaxed
data_Rb2AgGeBr5
_chemical_formula_sum 'Rb8 Ag4 Ge4 Br20'
_cell_length_a 4.412
_cell_length_b 19.974
_cell_length_c 14.320
_cell_angle_alpha 90.00
_cell_angle_beta 90.00
_cell_angle_gamma 90.00
_space_group_name_H-M_alt 'C m c 21'
_space_group_IT_number 36
loop_
_space_group_symop_operation_xyz
'x,y,z'
'-x,-y,z+1/2'
'-x,y,z'
'x,-y,z+1/2'
'x+1/2,y+1/2,z'
'-x+1/2,-y+1/2,z+1/2'
'-x+1/2,y+1/2,z'
'x+1/2,-y+1/2,z+1/2'
loop_
_atom_site_label
_atom_site_type_symbol
_atom_site_fract_x
_atom_site_fract_y
_atom_site_fract_z
_atom_site_occupancy
Rb1 Rb 0.000 0.104 0.000 1
Rb2 Rb 0.000 0.130 0.620 1
Ag1 Ag 0.000 0.445 0.773 1
Ge1 Ge 0.000 0.214 0.335 1
Br1 Br 0.000 0.061 0.378 1
Br2 Br 0.000 0.278 0.967 1
Br3 Br 0.000 0.301 0.703 1
Br4 Br 0.000 0.346 0.316 1
Br5 Br 0.000 0.500 0.106 1
# E_tot   -108.82 eV for the cell shown